(1)
The following is a PBE-GGA calculation of ReS2Cl after structural relaxation, from the Alexandria database.

Output
raw formation energy: 56 meV/atom
total DFT energy (no corrections): -0.410 Ry/atom
mass density: 4.9 g cm⁻³
energy above the most stable polymorph in this dataset: 497 meV/atom
symmetry: I-42d (122)

Lattice parameters (Å, degrees): 6.417 6.417 9.470 90.00 90.00 90.00
Fractional coordinates of all 16 atoms:
Re1 0.000 0.000 0.000
Re2 0.000 0.500 0.250
Re3 0.500 0.000 0.750
Re4 0.500 0.500 0.500
S1 0.148 0.250 0.125
S2 0.250 0.648 0.375
S3 0.250 0.852 0.875
S4 0.352 0.250 0.625
S5 0.648 0.750 0.625
S6 0.750 0.148 0.875
S7 0.750 0.352 0.375
S8 0.852 0.750 0.125
Cl1 0.000 0.000 0.500
Cl2 0.000 0.500 0.750
Cl3 0.500 0.000 0.250
Cl4 0.500 0.500 0.000


(2)
The following is a PBE-GGA calculation of NaAcSn2Br8 after structural relaxation, from the Alexandria database.

Output
raw formation energy: -1297 meV/atom
total DFT energy (no corrections): -0.260 Ry/atom
mass density: 4.1 g cm⁻³
symmetry: P2/m (10)

Lattice parameters (Å, degrees): 6.927 9.036 7.251 90.00 91.26 90.00
Fractional coordinates of all 12 atoms:
Na1 0.000 0.000 0.000
Ac1 0.000 0.500 0.000
Sn1 0.500 0.236 0.500
Sn2 0.500 0.764 0.500
Br1 0.240 0.245 0.160
Br2 0.240 0.755 0.160
Br3 0.256 0.500 0.662
Br4 0.271 0.000 0.654
Br5 0.729 0.000 0.346
Br6 0.744 0.500 0.338
Br7 0.760 0.245 0.840
Br8 0.760 0.755 0.840


(3)
The following is a PBE-GGA calculation of Cs2CuH5 after structural relaxation, from the Alexandria database.

Output
total DFT energy (no corrections): -0.211 Ry/atom
mass density: 3.1 g cm⁻³
symmetry: I4mm (107)

Lattice parameters (Å, degrees): 6.252 6.252 9.094 90.00 90.00 90.00
Fractional coordinates of all 16 atoms:
Cs1 0.000 0.500 0.000
Cs2 0.000 0.500 0.500
Cs3 0.500 0.000 0.000
Cs4 0.500 0.000 0.500
Cu1 0.000 0.000 0.222
Cu2 0.500 0.500 0.722
H1 0.000 0.000 0.032
H2 0.169 0.169 0.255
H3 0.169 0.831 0.255
H4 0.331 0.331 0.755
H5 0.331 0.669 0.755
H6 0.500 0.500 0.532
H7 0.669 0.331 0.755
H8 0.669 0.669 0.755
H9 0.831 0.169 0.255
H10 0.831 0.831 0.255


(4)
The following is a PBE-GGA calculation of NaSr3Ir after structural relaxation, from the Alexandria database.

Output
formation enthalpy at 0 K: 0.20 eV per formula unit
total DFT energy (no corrections): -0.221 Ry/atom
mass density: 4.3 g cm⁻³
energy above the most stable polymorph in this dataset: 163 meV/atom
symmetry: Pnma (62)

Lattice parameters (Å, degrees): 5.973 9.631 12.755 90.00 90.00 90.00
Fractional coordinates of all 20 atoms:
Na1 0.000 0.000 0.000
Na2 0.000 0.500 0.000
Na3 0.500 0.000 0.500
Na4 0.500 0.500 0.500
Sr1 0.001 0.062 0.368
Sr2 0.001 0.438 0.368
Sr3 0.003 0.750 0.169
Sr4 0.497 0.250 0.669
Sr5 0.499 0.562 0.868
Sr6 0.499 0.938 0.868
Sr7 0.501 0.062 0.132
Sr8 0.501 0.438 0.132
Sr9 0.503 0.750 0.331
Sr10 0.997 0.250 0.831
Sr11 0.999 0.562 0.632
Sr12 0.999 0.938 0.632
Ir1 0.003 0.750 0.422
Ir2 0.497 0.250 0.922
Ir3 0.503 0.750 0.078
Ir4 0.997 0.250 0.578


(5)
The following is a PBE-GGA calculation of Tb2ErBi2 after structural relaxation, from the Alexandria database.

Output
formation enthalpy at 0 K: -2.75 eV per formula unit
total DFT energy (no corrections): -0.358 Ry/atom
mass density: 9.3 g cm⁻³
symmetry: Ibam (72)

Lattice parameters (Å, degrees): 7.986 7.986 7.986 115.14 83.81 133.07
Fractional coordinates of all 10 atoms:
Tb1 0.155 0.148 0.303
Tb2 0.345 0.648 0.994
Tb3 0.655 0.352 0.006
Tb4 0.845 0.852 0.697
Er1 0.250 0.750 0.500
Er2 0.750 0.250 0.500
Bi1 0.107 0.789 0.896
Bi2 0.393 0.289 0.682
Bi3 0.607 0.711 0.318
Bi4 0.893 0.211 0.104


(6)
The following is a PBE-GGA calculation of Zn3CuGe after structural relaxation, from the Alexandria database.

Output
formation enthalpy at 0 K: 2.04 eV per formula unit
total DFT energy (no corrections): -0.154 Ry/atom
mass density: 5.7 g cm⁻³
energy above the most stable polymorph in this dataset: 0 meV/atom
symmetry: Pm-3m (221)

Lattice parameters (Å, degrees): 4.579 4.579 4.579 90.00 90.00 90.00
Fractional coordinates of all 5 atoms:
Zn1 0.000 0.000 0.500
Zn2 0.000 0.500 0.000
Zn3 0.500 0.000 0.000
Cu1 0.000 0.000 0.000
Ge1 0.500 0.500 0.500